Pm8SmTm6 | PBE | optimized geometry

Cell: 9.435 9.435 6.438 Å, 90.00 90.00 120.00°
Positions (direct):
Pm  0.041  0.285  0.325
Pm  0.244  0.959  0.325
Pm  0.285  0.244  0.675
Pm  0.333  0.667  0.366
Pm  0.667  0.333  0.634
Pm  0.715  0.756  0.325
Pm  0.756  0.041  0.675
Pm  0.959  0.715  0.675
Sm  0.000  0.000  0.000
Tm  0.097  0.446  0.832
Tm  0.349  0.903  0.832
Tm  0.446  0.349  0.168
Tm  0.554  0.651  0.832
Tm  0.651  0.097  0.168
Tm  0.903  0.554  0.168

The value obtained for the final energy is -66.797 eV per formula unit. The crystal system is trigonal. Its formation energy is 0.184 eV/atom.